Density functional theory data (PBE) for a geometry-optimized VAs2PbN structure.

Cell: 4.626 4.626 5.447 Å, 90.00 90.00 90.00°
Space group P4/mmm (No. 123)
Unique sites:
V 0.000 0.000 0.000 (multiplicity 1)
As 0.000 0.500 0.000 (multiplicity 2)
Pb 0.000 0.000 0.500 (multiplicity 1)
N 0.500 0.500 0.500 (multiplicity 1)

Summary:
D(E_F) ... 3.086 states/eV per cell
E_tot ... -25.308 eV per cell
Crystal system ... tetragonal
ρ ... 6.0 g/cm³
Energy relative to the elements, uncorrected ... 1029 meV/atom

---

Density functional theory data (PBE) for a geometry-optimized SrNdSn structure.

Cell: 7.721 7.721 7.721 Å, 90.00 90.00 90.00°
Space group F-43m (No. 216)
Unique sites:
Sr 0.000 0.000 0.000 (multiplicity 4)
Nd 0.000 0.000 0.500 (multiplicity 4)
Sn 0.250 0.250 0.750 (multiplicity 4)

Summary:
Formation energy from the elements ... -0.424 eV/atom
D(E_F) ... 10.873 states/eV per cell
E_tot ... -46.900 eV per cell
Crystal system ... cubic
ρ ... 5.1 g/cm³